P) Below is crystalline Sm2BiI at its relaxed geometry, with properties calculated at the PBE level.

Values from the calculation:
Space-group type: Fm-3m (225)

Unit cell a=5.532 b=5.532 c=5.532 alpha=60.00 beta=60.00 gamma=60.00
Sites, in units of the cell vectors:
I: 0.500 0.500 0.500
Bi: 0.000 0.000 0.000
Sm: 0.250 0.250 0.250
Sm: 0.750 0.750 0.750

Q) Below is crystalline Sm2BiI at its relaxed geometry, with properties calculated at the PBE level.

Values from the calculation:
Space-group type: R3m (160)

Unit cell a=4.362 b=4.362 c=8.454 alpha=75.05 beta=75.05 gamma=60.00
Sites, in units of the cell vectors:
Sm: 0.075 0.075 0.774
Sm: 0.258 0.258 0.226
Bi: 0.668 0.668 0.997
I: 0.499 0.499 0.503

R) Below is crystalline Sm2BiI at its relaxed geometry, with properties calculated at the PBE level.

Values from the calculation:
Space-group type: R-3m (166)

Unit cell a=4.634 b=4.634 c=7.658 alpha=72.39 beta=72.39 gamma=60.00
Sites, in units of the cell vectors:
I: 0.500 0.500 0.500
Bi: 0.000 0.000 0.000
Sm: 0.258 0.258 0.225
Sm: 0.742 0.742 0.775

The relative energies come out as P) 37; Q) 0; R) 18, with values in meV/atom.

P) Below is crystalline SnBi2I at its relaxed geometry, with properties calculated at the PBE level.

Values from the calculation:
Space-group type: I-42d (122)

Unit cell a=7.903 b=7.903 c=8.081 alpha=60.73 beta=60.73 gamma=90.00
Sites, in units of the cell vectors:
I: 0.000 0.000 0.000
I: 0.750 0.250 0.500
Bi: 0.591 0.125 0.250
Bi: 0.159 0.625 0.250
Bi: 0.375 0.409 0.750
Bi: 0.875 0.841 0.750
Sn: 0.500 0.500 0.000
Sn: 0.250 0.750 0.500

Q) Below is crystalline SnBi2I at its relaxed geometry, with properties calculated at the PBE level.

Values from the calculation:
Space-group type: Fm-3m (225)

Unit cell a=5.587 b=5.587 c=5.587 alpha=60.00 beta=60.00 gamma=60.00
Sites, in units of the cell vectors:
I: 0.500 0.500 0.500
Bi: 0.250 0.250 0.250
Bi: 0.750 0.750 0.750
Sn: 0.000 0.000 0.000

R) Below is crystalline SnBi2I at its relaxed geometry, with properties calculated at the PBE level.

Values from the calculation:
Space-group type: R-3m (166)

Unit cell a=3.811 b=3.811 c=10.497 alpha=79.54 beta=79.54 gamma=60.00
Sites, in units of the cell vectors:
I: 0.500 0.500 0.500
Bi: 0.745 0.745 0.765
Bi: 0.255 0.255 0.235
Sn: 0.000 0.000 0.000

The relative energies come out as P) 123; Q) 73; R) 0, with values in meV/atom.

P) Below is crystalline Sn3BiI at its relaxed geometry, with properties calculated at the PBE level.

Values from the calculation:
Space-group type: Pm-3m (221)

Unit cell a=6.025 b=6.025 c=6.025 alpha=90.00 beta=90.00 gamma=90.00
Sites, in units of the cell vectors:
I: 0.500 0.500 0.500
Bi: 0.000 0.000 0.000
Sn: 0.000 0.500 0.000
Sn: 0.000 0.000 0.500
Sn: 0.500 0.000 0.000

Q) Below is crystalline Sn3BiI at its relaxed geometry, with properties calculated at the PBE level.

Values from the calculation:
Space-group type: Pm-3m (221)

Unit cell a=5.851 b=5.851 c=5.851 alpha=90.00 beta=90.00 gamma=90.00
Sites, in units of the cell vectors:
I: 0.000 0.000 0.000
Bi: 0.500 0.500 0.500
Sn: 0.000 0.500 0.000
Sn: 0.000 0.000 0.500
Sn: 0.500 0.000 0.000

The relative energies come out as P) 0; Q) 176, with values in meV/atom.

P) Below is crystalline Sn2BiI at its relaxed geometry, with properties calculated at the PBE level.

Values from the calculation:
Space-group type: R-3m (166)

Unit cell a=4.652 b=4.652 c=8.114 alpha=73.34 beta=73.34 gamma=60.00
Sites, in units of the cell vectors:
I: 0.500 0.500 0.500
Bi: 0.000 0.000 0.000
Sn: 0.261 0.261 0.217
Sn: 0.739 0.739 0.783

Q) Below is crystalline Sn2BiI at its relaxed geometry, with properties calculated at the PBE level.

Values from the calculation:
Space-group type: Fm-3m (225)

Unit cell a=5.605 b=5.605 c=5.605 alpha=60.00 beta=60.00 gamma=60.00
Sites, in units of the cell vectors:
I: 0.000 0.000 0.000
Bi: 0.500 0.500 0.500
Sn: 0.250 0.250 0.250
Sn: 0.750 0.750 0.750

The relative energies come out as P) 0; Q) 143, with values in meV/atom.